Compound: SbTeRu3
Source: the Alexandria database
Functional: PBE
Structure: relaxed

```
data_SbTeRu3
_chemical_formula_sum 'Sb1 Te1 Ru3'
_symmetry_space_group_name_H-M 'P m -3 m'
_symmetry_Int_Tables_number 221
_symmetry_space_group_name_Hall '-P 4 2 3'
_cell_length_a 4.825
_cell_length_b 4.825
_cell_length_c 4.825
_cell_angle_alpha 90.00
_cell_angle_beta 90.00
_cell_angle_gamma 90.00
loop_
_atom_site_label
_atom_site_fract_x
_atom_site_fract_y
_atom_site_fract_z
_atom_site_occupancy
Sb1 0.000 0.000 0.000 1
Te1 0.500 0.500 0.500 1
Ru1 0.000 0.500 0.500 1
```

M_tot   0.00 Bohr magnetons per cell
E_form (uncorrected)   6.70 eV/f.u.
Theoretical density   8.17 g/cm3
Distance to the lowest polymorph of the same formula   0.0 meV/atom